An optimized crystal structure of VB2RuI, computed with PBE.

- SG = P4/mmm
- ΔE_f (raw) (eV/atom) = 1.46
- magnetic moment (μB/cell) = 0.000

Lattice parameters (Å, degrees): 4.169 4.683 4.169 90.00 90.00 90.00
Fractional positions:
I  0.500  0.500  0.500
Ru  0.000  0.500  0.000
B  0.000  0.000  0.500
B  0.500  0.000  0.000
V  0.000  0.000  0.000

***

An optimized crystal structure of Cu2Br2N, computed with PBE.

- SG = I4/mmm
- ΔE_f (raw) (eV/atom) = 0.52
- distance to the lowest polymorph of the same formula (eV per atom) = 0.000
- magnetic moment (μB/cell) = 2.996

Lattice parameters (Å, degrees): 4.986 4.986 6.445 67.25 67.25 90.00
Each line ends with the local moment (μB).
Fractional positions:
Cu  0.166  0.166  0.668  0.46
Cu  0.834  0.834  0.332  0.46
Br  0.750  0.250  0.500  0.12
Br  0.250  0.750  0.500  0.12
N  0.000  0.000  0.000  1.18

***

An optimized crystal structure of AgRh4, computed with PBE.

- SG = Pm-3m
- E_form (eV/atom) = 2.06
- distance to the lowest polymorph of the same formula (eV per atom) = 1.935
- magnetic moment (μB/cell) = 3.764

Lattice parameters (Å, degrees): 4.741 4.741 4.741 90.00 90.00 90.00
Each line ends with the local moment (μB).
Fractional positions:
Rh  0.000  0.000  0.000  1.37
Rh  0.500  0.000  0.500  0.80
Rh  0.000  0.500  0.500  0.80
Rh  0.500  0.500  0.000  0.80
Ag  0.500  0.500  0.500  0.01

***

- The lowest magnetic moment belongs to which entry?
  VB2RuI

***

- Which value of magnetic moment does entry 3 give?
  3.764 μB/cell

***

- Look up the magnetic moment of the first one.
  0.000 μB/cell

***

- Which of these has the highest magnetic moment?
  AgRh4